Entry 1:
First-principles (PBE-GGA) data for crystalline GdScNb at its relaxed geometry, as listed in the Alexandria database.

Cell: 3.1357 3.1357 14.8036 Å, 90.00 90.00 90.00°
With the nearest neighbours (Å) after each atom.
Space group I4mm (No. 107)
Symmetry-distinct sites (fractional):
1 Gd 0.0000 0.0000 0.0000 (multiplicity 2)  4 Gd 3.14, 4 Nb 3.25
2 Sc 0.0000 0.0000 0.2999 (multiplicity 2)  4 Nb 3.03, 4 Sc 3.14
3 Nb 0.0000 0.0000 0.6603 (multiplicity 2)  4 Sc 3.03, 4 Nb 3.14, 4 Gd 3.25

Calculated volume, Å³/atom: 24.260
DFT formation energy, eV/atom: 0.20



Entry 2:
First-principles (PBE-GGA) data for crystalline Cd4Cu5 at its relaxed geometry, as listed in the Alexandria database.

Cell: 8.4366 8.4366 4.0716 Å, 90.00 90.00 90.00°
With the nearest neighbours (Å) after each atom.
Space group I4/mmm (No. 139)
Symmetry-distinct sites (fractional):
1 Cd 0.0000 0.3142 0.0000 (multiplicity 8)  7 Cu 2.65-2.93
2 Cu 0.0000 0.0000 0.0000 (multiplicity 2)  4 Cd 2.65, 8 Cu 2.74
3 Cu 0.1542 0.1542 0.5000 (multiplicity 8)  4 Cu 2.60-2.74, 4 Cd 2.77

Energy above the lowest structure with this stoichiometry, meV per atom: 0
Calculated volume, Å³/atom: 16.100
DFT formation energy, eV/atom: 0.07



Entry 3:
First-principles (PBE-GGA) data for crystalline ReC at its relaxed geometry, as listed in the Alexandria database.

Cell: 3.0371 3.0371 23.6234 Å, 90.00 90.00 120.00°
With the nearest neighbours (Å) after each atom.
Space group R-3m (No. 166, hexagonal axes)
Symmetry-distinct sites (fractional):
1 Re 0.0000 0.0000 0.1177 (multiplicity 6)  3 C 1.98
2 C 0.0000 0.0000 0.4125 (multiplicity 6)  3 Re 1.98

Energy above the lowest structure with this stoichiometry, meV per atom: 811
Calculated volume, Å³/atom: 15.726
DFT formation energy, eV/atom: 1.05



Entry 4:
First-principles (PBE-GGA) data for crystalline SiMo2Rh at its relaxed geometry, as listed in the Alexandria database.

Cell: 2.7947 2.7947 26.1641 Å, 90.00 90.00 120.00°
With the nearest neighbours (Å) after each atom.
Space group R3m (No. 160, hexagonal axes)
Symmetry-distinct sites (fractional):
1 Si 0.0000 0.0000 0.0000 (multiplicity 3)  3 Rh 2.48, 3 Mo 2.68
2 Mo 0.0000 0.0000 0.5070 (multiplicity 3)  9 Mo 2.79-2.90, 3 Rh 2.80
3 Mo 0.0000 0.0000 0.7483 (multiplicity 3)  3 Si 2.68, 9 Mo 2.79-2.90
4 Rh 0.0000 0.0000 0.2614 (multiplicity 3)  3 Si 2.48

Formation energy from raw total energies, eV per atom: -0.061
Calculated volume, Å³/atom: 14.748



Entry 5:
First-principles (PBE-GGA) data for crystalline Zn4Cr at its relaxed geometry, as listed in the Alexandria database.

Cell: 3.6182 3.6182 12.3072 Å, 90.00 90.00 90.00°
With the nearest neighbours (Å) after each atom.
Space group I4/mmm (No. 139)
Symmetry-distinct sites (fractional):
1 Zn 0.0000 0.0000 0.0981 (multiplicity 4)  5 Zn 2.42-2.60
2 Zn 0.0000 0.5000 0.2500 (multiplicity 4)  8 Zn 2.56-2.60
3 Cr 0.0000 0.0000 0.5000 (multiplicity 2)  8 Zn 2.83

Energy above the lowest structure with this stoichiometry, meV per atom: 160
Calculated volume, Å³/atom: 16.112
DFT formation energy, eV/atom: 0.26



Entry 6:
First-principles (PBE-GGA) data for crystalline LuNpOs2 at its relaxed geometry, as listed in the Alexandria database.

Cell: 3.3541 3.3541 6.7659 Å, 90.00 90.00 90.00°
With the nearest neighbours (Å) after each atom.
Space group P4/mmm (No. 123)
Symmetry-distinct sites (fractional):
1 Lu 0.0000 0.0000 0.0000 (multiplicity 1)  8 Os 2.96
2 Np 0.0000 0.0000 0.5000 (multiplicity 1)  8 Os 2.86
3 Os 0.5000 0.5000 0.2626 (multiplicity 2)  4 Np 2.86, 4 Lu 2.96

Energy above the lowest structure with this stoichiometry, meV per atom: 0
Calculated volume, Å³/atom: 19.029
DFT formation energy, eV/atom: -0.10



Calculated values (eV per cell) of total DFT energy (no corrections) for the records, taken in order: -59.74; -46.99; -117.41; -104.04; -26.87; -40.31.